No. 1
TcBr2Cl | PBE | optimized geometry

Computed properties:
Uncorrected energy: -3.186 eV per atom
Formation energy from raw total energies: 704 meV/atom

Cell lengths 3.6083, 4.4583, 6.2657 Å; angles 90.00, 90.00, 90.00 degrees
Positions (direct):
Tc 0.0000 0.0000 0.0000
Br 0.0000 0.5000 0.5000
Br 0.5000 0.0000 0.5000
Cl 0.5000 0.5000 0.0000


No. 2
AgPPdI2 | PBE | optimized geometry

Computed properties:
Uncorrected energy: -2.557 eV per atom
Formation energy from raw total energies: 754 meV/atom

Cell lengths 5.4313, 5.4313, 5.2924 Å; angles 90.00, 90.00, 90.00 degrees
Positions (direct):
Ag 0.0000 0.0000 0.0000
P 0.5000 0.5000 0.0000
Pd 0.0000 0.0000 0.5000
I 0.0000 0.5000 0.5000
I 0.5000 0.0000 0.5000


No. 3
Pm5Sm8Mg | PBE | optimized geometry

Computed properties:
Uncorrected energy: -4.284 eV per atom
Calculated formation energy: 223.3 meV/atom

Cell lengths 8.5545, 8.5545, 9.7845 Å; angles 124.80, 124.80, 72.13 degrees
Positions (direct):
Pm 0.0000 0.0000 0.0000
Pm 0.3186 0.4778 0.1072
Pm 0.3713 0.2109 0.6889
Pm 0.5222 0.6814 0.8928
Pm 0.7891 0.6287 0.3111
Sm 0.0212 0.8431 0.2617
Sm 0.0606 0.5674 0.7282
Sm 0.1569 0.9788 0.7383
Sm 0.2405 0.4182 0.3973
Sm 0.4326 0.9394 0.2718
Sm 0.5818 0.7595 0.6027
Sm 0.6666 0.1595 0.0993
Sm 0.8405 0.3334 0.9007
Mg 0.7500 0.2500 0.5000


No. 4
K2Sn3Se6 | PBE | optimized geometry

Computed properties:
Uncorrected energy: -3.825 eV per atom
Formation energy from raw total energies: -633 meV/atom

Cell lengths 6.9989, 6.9989, 8.3894 Å; angles 98.38, 98.38, 119.15 degrees
Positions (direct):
K 0.1717 0.8283 0.0000
K 0.8283 0.1717 0.0000
Sn 0.0000 0.0000 0.5000
Sn 0.3310 0.6690 0.5000
Sn 0.6690 0.3310 0.5000
Se 0.0687 0.3889 0.6992
Se 0.2471 0.2471 0.3031
Se 0.3889 0.0687 0.6992
Se 0.6111 0.9313 0.3008
Se 0.7529 0.7529 0.6969
Se 0.9313 0.6111 0.3008


No. 5
BaSi2Au | PBE | optimized geometry

Computed properties:
Uncorrected energy: -4.355 eV per atom
Formation energy from raw total energies: -344 meV/atom

Cell lengths 4.2491, 6.9587, 6.5351 Å; angles 90.00, 90.23, 90.00 degrees
Positions (direct):
Ba 0.2495 0.2500 0.3692
Ba 0.7505 0.7500 0.6308
Si 0.2540 0.0518 0.8458
Si 0.2540 0.4482 0.8458
Si 0.7460 0.5518 0.1542
Si 0.7460 0.9482 0.1542
Au 0.2450 0.7500 0.0893
Au 0.7550 0.2500 0.9107


No. 6
Be2InBr | PBE | optimized geometry

Computed properties:
Uncorrected energy: -2.573 eV per atom
Formation energy from raw total energies: 393 meV/atom

Cell lengths 7.8460, 7.8460, 7.8460 Å; angles 156.32, 144.99, 42.70 degrees
Positions (direct):
Be 0.0000 0.0000 0.0000
Be 0.8863 0.3863 0.5000
In 0.3663 0.3663 0.0000
Br 0.1025 0.6025 0.5000


- Among the records above, which one has the highest uncorrected energy?
  AgPPdI2


- The lowest uncorrected energy belongs to which entry?
  BaSi2Au